{"formula": "Mn2CoB2", "functional": "PBE-GGA", "state": "relaxed", "e_above_lowest_polymorph_mev_per_atom": 378, "dos_at_fermi_per_ev_atom": 0.903, "ef_ev_per_atom": 0.05, "spacegroup": "Cmcm, No. 63", "total_energy_ev_per_cell": -77.1, "cell": [[2.113, -5.347, 0.000], [2.113, 5.347, 0.000], [0.000, 0.000, 4.256]], "species": ["Mn", "Mn", "Mn", "Mn", "Co", "Co", "B", "B", "B", "B"], "fractional_positions": [[0.083, 0.917, 0.750], [0.287, 0.713, 0.250], [0.713, 0.287, 0.750], [0.917, 0.083, 0.250], [0.500, 0.500, 0.000], [0.500, 0.500, 0.500], [0.098, 0.326, 0.750], [0.326, 0.098, 0.250], [0.674, 0.902, 0.750], [0.902, 0.674, 0.250]]}